[1]
GGA-PBE HoTa3, relaxed; ΔE_f = 0.38 eV per atom
1.0
0.000 3.428 3.428
3.428 0.000 3.428
3.428 3.428 0.000
Ho Ta
1 3
direct
0.000 0.000 0.000
0.250 0.250 0.250
0.500 0.500 0.500
0.750 0.750 0.750


[2]
GGA-PBE ZrNbSb2As, relaxed; formation energy without anion corrections = 0.92 eV/atom
1.0
5.249 0.000 0.000
0.000 5.249 0.000
0.000 0.000 4.877
Zr Nb Sb As
1 1 2 1
direct
0.000 0.000 0.000
0.500 0.500 0.000
0.000 0.500 0.500
0.500 0.000 0.500
0.000 0.000 0.500


[3]
GGA-PBE CdAsBr2, relaxed; formation energy without anion corrections = 0.27 eV/atom; relative energy among the computed polymorphs = 549.7 meV/atom
1.0
5.143 0.000 0.000
0.000 5.143 0.000
0.000 0.000 3.678
Cd As Br
1 1 2
direct
0.000 0.000 0.000
0.500 0.500 0.000
0.000 0.500 0.500
0.500 0.000 0.500


[4]
GGA-PBE BeC, relaxed; relative energy among the computed polymorphs = 1046.2 meV/atom; ΔE_f = 1.37 eV per atom
1.0
3.669 0.000 0.000
0.000 3.669 0.000
0.000 0.000 3.669
Be C
3 3
direct
0.000 0.000 0.500
0.000 0.500 0.000
0.500 0.000 0.000
0.000 0.500 0.500
0.500 0.000 0.500
0.500 0.500 0.000


[5]
GGA-PBE LiDyNiAg, relaxed; ΔE_f = -0.15 eV per atom
1.0
0.000 3.271 3.271
3.271 0.000 3.271
3.271 3.271 0.000
Li Dy Ni Ag
1 1 1 1
direct
0.000 0.000 0.000
0.250 0.250 0.250
0.500 0.500 0.500
0.750 0.750 0.750


[6]
GGA-PBE Tm2GaSi4Rh3, relaxed; formation energy without anion corrections = -0.88 eV/atom
1.0
4.041 0.000 0.000
0.000 4.041 0.000
0.000 0.000 10.205
Tm Ga Si Rh
2 1 4 3
direct
0.000 0.500 0.242
0.500 0.000 0.758
0.000 0.000 0.500
0.000 0.000 0.000
0.000 0.500 0.646
0.500 0.000 0.354
0.500 0.500 0.000
0.000 0.500 0.874
0.500 0.000 0.126
0.500 0.500 0.500


[7]
GGA-PBE Dy2ErPd4, relaxed; ΔE_f = -0.58 eV per atom
1.0
4.503 -2.799 0.000
4.503 2.799 0.000
-3.797 0.000 6.683
Dy Er Pd
2 1 4
direct
0.226 0.226 0.331
0.774 0.774 0.669
0.500 0.500 0.000
0.000 0.500 0.000
0.157 0.157 0.652
0.500 0.000 0.000
0.843 0.843 0.348


[8]
GGA-PBE NaPr3Sm4Te8, relaxed; formation energy without anion corrections = -1.39 eV/atom
1.0
7.771 -4.486 0.000
7.771 4.486 0.000
-5.180 0.000 7.339
Na Pr Sm Te
1 3 4 8
direct
0.000 0.000 0.000
0.000 0.500 0.000
0.500 0.000 0.000
0.500 0.500 0.000
0.000 0.000 0.500
0.000 0.500 0.500
0.500 0.000 0.500
0.500 0.500 0.500
0.244 0.751 0.746
0.247 0.247 0.743
0.249 0.756 0.254
0.250 0.250 0.254
0.750 0.750 0.746
0.751 0.244 0.746
0.753 0.753 0.257
0.756 0.249 0.254


[9]
GGA-PBE LaRhSe2N, relaxed; formation energy without anion corrections = 0.79 eV/atom; relative energy among the computed polymorphs = 1420.7 meV/atom
1.0
5.854 0.000 0.000
0.000 5.854 0.000
0.000 0.000 4.004
La Rh Se N
1 1 2 1
direct
0.000 0.000 0.000
0.500 0.500 0.500
0.000 0.500 0.000
0.500 0.000 0.000
0.000 0.000 0.500


[10]
GGA-PBE LiCrSi2N, relaxed; formation energy without anion corrections = 0.25 eV/atom
1.0
3.963 0.000 0.000
0.000 3.963 0.000
0.000 0.000 3.704
Li Cr Si N
1 1 2 1
direct
0.000 0.000 0.000
0.500 0.500 0.000
0.000 0.500 0.500
0.500 0.000 0.500
0.000 0.000 0.500


[11]
GGA-PBE RuPt2Cl, relaxed; formation energy without anion corrections = 0.72 eV/atom; relative energy among the computed polymorphs = 480.4 meV/atom
1.0
-3.601 3.601 2.662
3.601 -3.601 2.662
3.601 3.601 -2.662
Ru Pt Cl
2 4 2
direct
0.000 0.000 0.000
0.750 0.250 0.500
0.117 0.625 0.992
0.375 0.367 0.492
0.633 0.125 0.008
0.875 0.883 0.508
0.250 0.750 0.500
0.500 0.500 0.000


[12]
GGA-PBE MgAlAg6, relaxed; relative energy among the computed polymorphs = 257.3 meV/atom; ΔE_f = 0.16 eV per atom
1.0
3.829 2.211 3.287
-3.829 2.211 3.287
0.000 -4.422 3.287
Mg Al Ag
1 1 6
direct
0.000 0.000 0.000
0.500 0.500 0.500
0.170 0.170 0.542
0.170 0.542 0.170
0.458 0.830 0.830
0.542 0.170 0.170
0.830 0.458 0.830
0.830 0.830 0.458


[13]
GGA-PBE DyY2Th, relaxed; relative energy among the computed polymorphs = 13.0 meV/atom; ΔE_f = 0.04 eV per atom
1.0
1.788 1.032 11.615
-1.788 1.032 11.615
0.000 -2.065 11.615
Dy Y Th
1 2 1
direct
0.000 0.000 0.000
0.416 0.416 0.416
0.584 0.584 0.584
0.834 0.834 0.834


[14]
GGA-PBE Nd2AgRh, relaxed; ΔE_f = -0.46 eV per atom
1.0
3.613 0.000 0.000
0.000 3.613 0.000
0.000 0.000 7.452
Nd Ag Rh
2 1 1
direct
0.000 0.000 0.228
0.000 0.000 0.772
0.500 0.500 0.500
0.500 0.500 0.000


[15]
GGA-PBE SbPb2Au, relaxed; formation energy without anion corrections = 0.02 eV/atom
1.0
3.431 0.000 0.000
0.000 3.994 0.000
-0.027 0.000 7.917
Sb Pb Au
1 2 1
direct
0.000 0.000 0.000
0.497 0.500 0.274
0.503 0.500 0.726
0.000 0.000 0.500


[16]
GGA-PBE Sn4HgBr8, relaxed; formation energy without anion corrections = -0.69 eV/atom; relative energy among the computed polymorphs = 0.0 meV/atom
1.0
10.700 -2.188 0.000
10.700 2.188 0.000
-9.380 0.000 11.116
Sn Hg Br
4 1 8
direct
0.000 0.000 0.000
0.191 0.191 0.708
0.515 0.515 0.368
0.707 0.707 0.075
0.852 0.852 0.537
0.147 0.147 0.474
0.175 0.175 0.191
0.220 0.220 0.953
0.486 0.486 0.122
0.532 0.532 0.884
0.560 0.560 0.602
0.808 0.808 0.778
0.899 0.899 0.298


[17]
GGA-PBE Ca8Ni2Pd, relaxed; ΔE_f = 0.02 eV per atom
1.0
5.947 0.000 0.000
0.000 8.723 0.000
0.002 4.360 7.564
Ca Ni Pd
8 2 1
direct
0.249 0.167 0.166
0.250 0.180 0.661
0.250 0.658 0.180
0.250 0.661 0.658
0.750 0.339 0.342
0.750 0.342 0.820
0.750 0.820 0.339
0.751 0.833 0.834
0.252 0.833 0.834
0.748 0.167 0.166
0.000 0.500 0.500


[18]
GGA-PBE LiTeF5, relaxed; formation energy without anion corrections = -2.40 eV/atom
1.0
4.490 -3.641 0.000
4.490 3.641 0.000
-3.181 0.000 7.422
Li Te F
2 2 10
direct
0.152 0.848 0.500
0.848 0.152 0.000
0.064 0.506 0.785
0.506 0.064 0.285
0.151 0.181 0.181
0.181 0.151 0.681
0.208 0.595 0.617
0.393 0.836 0.382
0.446 0.802 0.073
0.595 0.208 0.117
0.802 0.446 0.573
0.836 0.393 0.882
0.842 0.872 0.326
0.872 0.842 0.826


[19]
GGA-PBE Zr2TcRh, relaxed; ΔE_f = 0.40 eV per atom
1.0
-2.143 2.143 8.801
2.143 -2.143 8.801
2.143 2.143 -8.801
Zr Tc Rh
4 2 2
direct
0.122 0.625 0.997
0.375 0.372 0.497
0.628 0.125 0.003
0.875 0.878 0.503
0.000 0.000 0.000
0.750 0.250 0.500
0.250 0.750 0.500
0.500 0.500 0.000


[20]
GGA-PBE GePtRh, relaxed; ΔE_f = -0.48 eV per atom
1.0
0.000 2.905 2.905
2.905 0.000 2.905
2.905 2.905 0.000
Ge Pt Rh
1 1 1
direct
0.000 0.000 0.000
0.250 0.250 0.250
0.750 0.750 0.750